This record from Alexandria describes a crystal of BaCd2As relaxed with PBEsol. The functional is meta-GGA SCAN.

Cell: 4.1422 5.2041 10.0729 Å, 90.00 90.00 90.00°
Space group Immm (No. 71)
Unique sites:
Ba: 0.0000 0.0000 0.0000 [2 per cell]
Cd: 0.0000 0.5000 0.2153 [4 per cell]
As: 0.0000 0.0000 0.5000 [2 per cell]

Results
Crystal system: orthorhombic
Uncorrected energy (eV/cell): -243.88
N(E_F) (states/eV/atom): 0.410

This record from Alexandria describes a crystal of Ba2Cd2As3 relaxed with PBEsol. The functional is meta-GGA SCAN.

Cell: 17.1068 4.5420 12.6997 Å, 90.00 126.82 90.00°
Space group C2/m (No. 12)
Unique sites:
Ba: 0.1068 0.0000 0.4503 [4 per cell]
Ba: 0.2321 0.0000 0.8327 [4 per cell]
Cd: 0.0425 0.5000 0.8135 [4 per cell]
Cd: 0.0891 0.0000 0.1512 [4 per cell]
As: 0.0735 0.5000 0.6174 [4 per cell]
As: 0.1157 0.0000 0.9606 [4 per cell]
As: 0.1522 0.5000 0.3000 [4 per cell]

Results
Crystal system: monoclinic
Uncorrected energy (eV/cell): -827.05
N(E_F) (states/eV/atom): 0.007

This record from Alexandria describes a crystal of Ba2CdAs relaxed with PBEsol. The functional is meta-GGA SCAN.

Cell: 4.3455 5.3981 5.5275 Å, 90.00 90.00 90.00°
Space group Pmm2 (No. 25)
Unique sites:
Ba: 0.0000 0.0000 0.0000 [1 per cell]
Ba: 0.0000 0.5000 0.4590 [1 per cell]
Cd: 0.5000 0.0000 0.5172 [1 per cell]
As: 0.5000 0.5000 0.9369 [1 per cell]

Results
Crystal system: orthorhombic
Uncorrected energy (eV/cell): -132.75
N(E_F) (states/eV/atom): 0.311

Please write out number 2 again, unchanged.
This record from Alexandria describes a crystal of Ba2Cd2As3 relaxed with PBEsol. The functional is meta-GGA SCAN.

Cell: 17.1068 4.5420 12.6997 Å, 90.00 126.82 90.00°
Space group C2/m (No. 12)
Unique sites:
Ba: 0.1068 0.0000 0.4503 [4 per cell]
Ba: 0.2321 0.0000 0.8327 [4 per cell]
Cd: 0.0425 0.5000 0.8135 [4 per cell]
Cd: 0.0891 0.0000 0.1512 [4 per cell]
As: 0.0735 0.5000 0.6174 [4 per cell]
As: 0.1157 0.0000 0.9606 [4 per cell]
As: 0.1522 0.5000 0.3000 [4 per cell]

Results
Crystal system: monoclinic
Uncorrected energy (eV/cell): -827.05
N(E_F) (states/eV/atom): 0.007